The following is a PBE+U calculation of a relaxed Li2VO2F crystal, from Alexandria.

Cell: 2.9500 5.1673 7.3283 Å, 90.61 90.00 90.00°
Each line ends with the local moment (μB).
Positions (direct):
V: 0.7500 0.5790 0.6728  1.90
V: 0.2500 0.4210 0.3272  1.90
Li: 0.2500 0.0905 0.6584  0.00
Li: 0.7500 0.2617 0.9846  0.00
Li: 0.2500 0.7383 0.0154  0.00
Li: 0.7500 0.9095 0.3416  0.00
O: 0.7500 0.2658 0.4879  -0.01
O: 0.2500 0.4267 0.8218  0.00
O: 0.7500 0.5733 0.1782  0.00
O: 0.2500 0.7342 0.5121  -0.01
F: 0.7500 0.9177 0.8356  0.01
F: 0.2500 0.0823 0.1644  0.01

Crystal system   monoclinic
Offset from the most stable computed form   0.28 eV per formula unit
Total energy   -74.19 eV per cell